No. 1
The following is a PBE calculation of crystalline PmSm2Tl4 at its relaxed geometry, from the Alexandria database.

## Properties
For the formation energy, the calculation gives -158 kJ/mol of formula units.

Cell lengths 8.5987, 7.5574, 10.6985 Å; angles 134.99, 108.08, 89.91 degrees
Sites, in units of the cell vectors:
Pm (0.1276, 0.6355, 0.5106)
Pm (0.1262, 0.1349, 0.0094)
Sm (0.6230, 0.3839, 0.7588)
Sm (0.6231, 0.8833, 0.2585)
Sm (0.6199, 0.4209, 0.2959)
Sm (0.1300, 0.1791, 0.5537)
Tl (0.8750, 0.9998, 0.1266)
Tl (0.3534, 0.7705, 0.3730)
Tl (0.8734, 0.5370, 0.6625)
Tl (0.8737, 0.0371, 0.6614)
Tl (0.3530, 0.2242, 0.3720)
Tl (0.3988, 0.2493, 0.8954)
Tl (0.3993, 0.7922, 0.8958)
Tl (0.8736, 0.5023, 0.1265)

No. 2
The following is a PBE calculation of crystalline Sr2BBr at its relaxed geometry, from the Alexandria database.

## Properties
The value obtained for the energy relative to the elements, uncorrected is -0.076 eV per atom.

Cell lengths 5.3449, 5.3449, 5.3449 Å; angles 60.00, 60.00, 60.00 degrees
Each line ends with the local moment (μB).
Sites, in units of the cell vectors:
Sr (0.2500, 0.2500, 0.2500)  0.09
Sr (0.7500, 0.7500, 0.7500)  0.09
B (0.0000, 0.0000, 0.0000)  0.50
Br (0.5000, 0.5000, 0.5000)  0.08

No. 3
The following is a PBE calculation of crystalline NaBi3W at its relaxed geometry, from the Alexandria database.

## Properties
For the formation energy, the calculation gives 276 kJ/mol of formula units.

Cell lengths 5.5011, 5.5011, 5.5011 Å; angles 90.00, 90.00, 90.00 degrees
Sites, in units of the cell vectors:
Na (0.5000, 0.5000, 0.5000)
Bi (0.0000, 0.5000, 0.0000)
Bi (0.0000, 0.0000, 0.5000)
Bi (0.5000, 0.0000, 0.0000)
W (0.0000, 0.0000, 0.0000)

No. 4
The following is a PBE calculation of crystalline Pr12SmHo2 at its relaxed geometry, from the Alexandria database.

## Properties
For the formation energy, the calculation gives 220 kJ/mol of formula units.

Cell lengths 6.9014, 6.9014, 25.2326 Å; angles 90.00, 90.00, 63.47 degrees
Sites, in units of the cell vectors:
Pr (0.5000, 0.5000, 0.8010)
Pr (0.0000, 0.0000, 0.8010)
Pr (0.7520, 0.7480, 0.8686)
Pr (0.2527, 0.7527, 0.9263)
Pr (0.0000, 0.0000, 0.3243)
Pr (0.2473, 0.7473, 0.0737)
Pr (0.7747, 0.2747, 0.5601)
Pr (0.5000, 0.5000, 0.3243)
Pr (0.2480, 0.2520, 0.8686)
Pr (0.7480, 0.7520, 0.1314)
Pr (0.2701, 0.2299, 0.5853)
Pr (0.7253, 0.2253, 0.4399)
Pr (0.0000, 0.0000, 0.6757)
Pr (0.2299, 0.2701, 0.4147)
Pr (0.2520, 0.2480, 0.1314)
Pr (0.7701, 0.7299, 0.4147)
Pr (0.7299, 0.7701, 0.5853)
Pr (0.0000, 0.0000, 0.1990)
Pr (0.2253, 0.7253, 0.5601)
Pr (0.5000, 0.5000, 0.6757)
Pr (0.7473, 0.2473, 0.9263)
Pr (0.5000, 0.5000, 0.1990)
Pr (0.2747, 0.7747, 0.4399)
Pr (0.7527, 0.2527, 0.0737)
Sm (0.5000, 0.0000, 0.0013)
Sm (0.0000, 0.5000, 0.9987)
Ho (0.5000, 0.0000, 0.2712)
Ho (0.0000, 0.5000, 0.2674)
Ho (0.0000, 0.5000, 0.7288)
Ho (0.5000, 0.0000, 0.7326)

How do the records compare in spin magnetization? In the order shown, they have 0.08, 2.00, 0.00, 0.00 μB per formula unit.